VASP calculation (GGA-PBE) on a relaxed structure of ZrTeI2Br.

Values from the calculation:
The formation energy from raw total energies comes out at 0.83 eV per atom. Its electronic total energy is -0.181 Ry/atom. Its distance to the lowest polymorph of the same formula is 1171 meV per atom.

Geometry as CIF:
```
data_ZrTeI2Br
_chemical_formula_sum 'Zr1 Te1 I2 Br1'
_cell_length_a 5.6089
_cell_length_b 5.6089
_cell_length_c 5.9911
_cell_angle_alpha 90.00
_cell_angle_beta 90.00
_cell_angle_gamma 90.00
_symmetry_space_group_name_H-M 'P 4/m m m'
_symmetry_Int_Tables_number 123
_symmetry_space_group_name_Hall '-P 4 2'
loop_
_atom_site_label
_atom_site_type_symbol
_atom_site_fract_x
_atom_site_fract_y
_atom_site_fract_z
_atom_site_occupancy
Zr1 Zr 0.0000 0.0000 0.0000 1
Te1 Te 0.5000 0.5000 0.0000 1
I1 I 0.0000 0.5000 0.5000 1
Br1 Br 0.5000 0.5000 0.5000 1
```